A plane-wave DFT calculation with PBE with a Hubbard U was carried out for an optimized crystal structure of CoPbSeO.

```
8
Lattice="1.666 -2.859 0.000 1.666 2.859 0.000 0.000 0.000 15.098" Properties=species:S:1:pos:R:3 pbc="T T T"
Co 1.666 -1.923 11.128
O 1.666 0.012 2.814
Se 1.666 1.902 12.905
O 1.666 -0.012 10.363
Se 1.666 -1.902 5.356
Co 1.666 1.923 3.579
Pb 1.666 -0.031 0.517
Pb 1.666 0.031 8.066
```

Values from the calculation:
- Polymorph energy (0 for the lowest one): 7.33 kcal/mol of atoms
- Total energy: -0.34576 Ry/atom
- Total moment: 2.42 μB/f.u.